Entry 1:
A plane-wave DFT calculation with GGA-PBE was carried out for Np2UO8 after structural relaxation.

a = 3.821 Å, b = 6.513 Å, c = 6.428 Å
α = 97.15°, β = 90.00°, γ = 107.06°
Element x y z (fractional)
U 0.500 0.000 0.000
O 0.801 0.602 0.435
O 0.199 0.398 0.565
O 0.078 0.156 0.149
O 0.566 0.132 0.743
O 0.434 0.868 0.257
O 0.300 0.601 0.925
O 0.922 0.844 0.851
O 0.700 0.399 0.075
Np 0.251 0.503 0.256
Np 0.749 0.497 0.744

Values from the calculation:
Crystal system   monoclinic



Entry 2:
A plane-wave DFT calculation with GGA-PBE was carried out for NpUO4 after structural relaxation.

a = 3.823 Å, b = 3.823 Å, c = 5.413 Å
α = 90.03°, β = 90.03°, γ = 90.00°
Element x y z (fractional)
O 0.000 0.000 0.255
O 0.000 0.000 0.745
O 0.500 0.500 0.745
O 0.500 0.500 0.255
Np 0.500 0.000 0.000
U 0.000 0.500 0.500

Values from the calculation:
Crystal system   tetragonal



Entry 3:
A plane-wave DFT calculation with GGA-PBE was carried out for NpUO5 after structural relaxation.

a = 5.736 Å, b = 5.736 Å, c = 7.972 Å
α = 69.86°, β = 69.86°, γ = 71.92°
Element x y z (fractional)
O 0.688 0.296 0.960
O 0.241 0.300 0.861
O 0.296 0.688 0.460
O 0.887 0.113 0.250
O 0.312 0.704 0.040
O 0.700 0.759 0.639
O 0.113 0.887 0.750
O 0.300 0.241 0.361
O 0.704 0.312 0.540
O 0.759 0.700 0.139
Np 0.000 0.000 0.000
Np 0.000 0.000 0.500
U 0.464 0.536 0.750
U 0.536 0.464 0.250

Values from the calculation:
Crystal system   monoclinic



Entry 4:
A plane-wave DFT calculation with GGA-PBE was carried out for Np6UO12 after structural relaxation.

a = 6.665 Å, b = 6.665 Å, c = 6.665 Å
α = 99.39°, β = 99.39°, γ = 99.39°
Element x y z (fractional)
O 0.070 0.939 0.682
O 0.318 0.930 0.061
O 0.439 0.177 0.589
O 0.930 0.061 0.318
O 0.589 0.439 0.177
O 0.823 0.411 0.561
O 0.939 0.682 0.070
O 0.561 0.823 0.411
O 0.061 0.318 0.930
O 0.682 0.070 0.939
O 0.177 0.589 0.439
O 0.411 0.561 0.823
U 0.000 0.000 0.000
Np 0.599 0.140 0.300
Np 0.401 0.860 0.700
Np 0.140 0.300 0.599
Np 0.860 0.700 0.401
Np 0.300 0.599 0.140
Np 0.700 0.401 0.860

Values from the calculation:
Crystal system   trigonal



Entry 5:
A plane-wave DFT calculation with GGA-PBE was carried out for NpUZnO6 after structural relaxation.

a = 5.386 Å, b = 5.386 Å, c = 9.829 Å
α = 90.00°, β = 90.00°, γ = 120.00°
Element x y z (fractional)
O 0.335 0.331 0.368
O 0.669 0.665 0.132
O 0.331 0.335 0.868
O 0.665 0.669 0.632
O 0.665 0.996 0.868
O 0.335 0.004 0.132
O 0.004 0.335 0.632
O 0.004 0.669 0.868
O 0.669 0.004 0.368
O 0.996 0.331 0.132
O 0.331 0.996 0.632
O 0.996 0.665 0.368
Np 0.000 0.000 0.000
Np 0.000 0.000 0.500
U 0.333 0.667 0.750
U 0.667 0.333 0.250
Zn 0.667 0.333 0.750
Zn 0.333 0.667 0.250

Values from the calculation:
Crystal system   trigonal



Calculated energy (eV per atom), listed in the same order as above: -9.871, -10.565, -10.080, -10.805, -8.772
Calculated energy relative to the elements, uncorrected (eV/atom), listed in the same order as above: -2.89, -3.22, -3.08, -2.99, -2.63